A relaxed structure of InSbH. Source: Alexandria via LeMat-Bulk, functional PBE.

Unit cell a=12.4654 b=4.9744 c=4.8337 alpha=90.00 beta=108.32 gamma=90.00
With the nearest neighbours (Å) after each atom.
Space group C2 (No. 5)
Unique sites:
In: 0.1156 0.0000 0.0018 (multiplicity 4)  1 H 2.18
Sb: 0.1643 0.3653 0.5875 (multiplicity 4)  1 H 1.82
H: 0.1037 0.6523 0.7190 (multiplicity 4)  1 Sb 1.82

Calculated values
density of states at the Fermi level: 0.59 states/eV/cell
offset from the most stable computed form: 0.082 eV/atom

A relaxed structure of InSbH. Source: Alexandria via LeMat-Bulk, functional PBE.

Unit cell a=7.1980 b=6.2714 c=3.0024 alpha=90.00 beta=90.26 gamma=90.00
With the nearest neighbours (Å) after each atom.
Space group Cm (No. 8)
Unique sites:
In: 0.0000 0.0000 0.0000 (multiplicity 2)  1 H 2.09
Sb: 0.0481 0.5000 0.0024 (multiplicity 2)  1 H 1.85
H: 0.2908 0.0000 0.9972 (multiplicity 2)  1 Sb 1.85

Calculated values
density of states at the Fermi level: 2.04 states/eV/cell
offset from the most stable computed form: 0.122 eV/atom

A relaxed structure of InSbH. Source: Alexandria via LeMat-Bulk, functional PBE.

Unit cell a=7.6063 b=5.2605 c=7.6680 alpha=90.00 beta=101.66 gamma=90.00
With the nearest neighbours (Å) after each atom.
Space group C2 (No. 5)
Unique sites:
In: 0.0000 0.0000 0.0000 (multiplicity 2)  4 Sb 2.97-2.98
In: 0.0000 0.2195 0.5000 (multiplicity 2)  2 H 2.37
Sb: 0.2471 0.8448 0.7642 (multiplicity 4)  1 H 1.77
H: 0.1141 0.5852 0.6656 (multiplicity 4)  1 Sb 1.77

Calculated values
density of states at the Fermi level: 2.86 states/eV/cell
offset from the most stable computed form: 0.053 eV/atom

A relaxed structure of InSb3H. Source: Alexandria via LeMat-Bulk, functional PBE.

Unit cell a=5.6931 b=5.6931 c=5.6931 alpha=90.00 beta=90.00 gamma=90.00
With the nearest neighbours (Å) after each atom.
Space group Pm-3m (No. 221)
Unique sites:
In: 0.0000 0.0000 0.0000 (multiplicity 1)  6 Sb 2.85
Sb: 0.0000 0.0000 0.5000 (multiplicity 3)  2 In 2.85
H: 0.5000 0.5000 0.5000 (multiplicity 1)  12 Sb 4.03

Calculated values
density of states at the Fermi level: 3.52 states/eV/cell
offset from the most stable computed form: 0.803 eV/atom

A relaxed structure of InSbH. Source: Alexandria via LeMat-Bulk, functional PBE.

Unit cell a=4.5309 b=4.7623 c=7.1950 alpha=91.10 beta=105.33 gamma=90.02
With the nearest neighbours (Å) after each atom.
Space group P1 (No. 1)
Unique sites:
In: 0.0000 0.0000 0.0000 (multiplicity 1)  2 H 2.87-2.98, 4 Sb 3.15-3.21
In: 0.2443 0.9894 0.6019 (multiplicity 1)  4 Sb 2.96-2.99
Sb: 0.5661 0.4986 0.8076 (multiplicity 1)  1 H 1.75
Sb: 0.6324 0.0144 0.3247 (multiplicity 1)  1 H 1.75
H: 0.3675 0.5135 0.9853 (multiplicity 1)  1 Sb 1.75
H: 0.6463 0.3808 0.3390 (multiplicity 1)  1 Sb 1.75

Calculated values
density of states at the Fermi level: 0.96 states/eV/cell
offset from the most stable computed form: 0.057 eV/atom

A relaxed structure of InSbH. Source: Alexandria via LeMat-Bulk, functional PBE.

Unit cell a=4.3677 b=4.3677 c=7.1740 alpha=90.00 beta=90.00 gamma=90.00
With the nearest neighbours (Å) after each atom.
Space group I4mm (No. 107)
Unique sites:
In: 0.0000 0.0000 0.0000 (multiplicity 2)  1 H 2.06
Sb: 0.0000 0.0000 0.4596 (multiplicity 2)  1 H 1.81
H: 0.0000 0.0000 0.7124 (multiplicity 2)  1 Sb 1.81

Calculated values
density of states at the Fermi level: 3.51 states/eV/cell
offset from the most stable computed form: 0.119 eV/atom

A relaxed structure of In3SbH4. Source: Alexandria via LeMat-Bulk, functional PBE.

Unit cell a=6.6513 b=4.8066 c=9.4571 alpha=90.00 beta=103.66 gamma=90.00
With the nearest neighbours (Å) after each atom.
Space group C2/m (No. 12)
Unique sites:
In: 0.0000 0.0000 0.0000 (multiplicity 2)  2 H 2.34
In: 0.1815 0.0000 0.6809 (multiplicity 4)  2 H 1.87-1.88
Sb: 0.0000 0.5000 0.5000 (multiplicity 2)  6 In 3.02-3.03, 2 H 3.26
H: 0.0647 0.0000 0.2538 (multiplicity 4)  1 In 1.88
H: 0.1624 0.5000 0.1271 (multiplicity 4)  1 In 1.87

Calculated values
DFT total energy: -46.03 eV for the cell shown
density of states at the Fermi level: 2.89 states/eV/cell

A relaxed structure of InSbH3. Source: Alexandria via LeMat-Bulk, functional PBE.

Unit cell a=4.0522 b=4.0522 c=4.0522 alpha=90.00 beta=90.00 gamma=90.00
With the nearest neighbours (Å) after each atom.
Space group Pm-3m (No. 221)
Unique sites:
In: 0.0000 0.0000 0.0000 (multiplicity 1)  6 H 2.03
Sb: 0.5000 0.5000 0.5000 (multiplicity 1)  12 H 2.87
H: 0.0000 0.0000 0.5000 (multiplicity 3)  2 In 2.03

Calculated values
density of states at the Fermi level: 2.89 states/eV/cell
offset from the most stable computed form: 0.233 eV/atom

A relaxed structure of InSnSbH2. Source: Alexandria via LeMat-Bulk, functional PBE.

Unit cell a=4.1581 b=4.1581 c=6.3424 alpha=90.00 beta=90.00 gamma=90.00
With the nearest neighbours (Å) after each atom.
Space group P4/mmm (No. 123)
Unique sites:
In: 0.0000 0.0000 0.0000 (multiplicity 1)  4 H 2.08
Sn: 0.5000 0.5000 0.5000 (multiplicity 1)  4 Sb 2.94
Sb: 0.0000 0.0000 0.5000 (multiplicity 1)  4 Sn 2.94, 2 In 3.17
H: 0.0000 0.5000 0.0000 (multiplicity 2)  2 In 2.08

Calculated values
DFT total energy: -15.88 eV for the cell shown
density of states at the Fermi level: 2.44 states/eV/cell

A relaxed structure of InSb2TeH. Source: Alexandria via LeMat-Bulk, functional PBE.

Unit cell a=4.5675 b=4.5675 c=5.6320 alpha=90.00 beta=90.00 gamma=90.00
With the nearest neighbours (Å) after each atom.
Space group P4/mmm (No. 123)
Unique sites:
In: 0.0000 0.0000 0.0000 (multiplicity 1)  4 Te 3.23
Sb: 0.0000 0.5000 0.5000 (multiplicity 2)  2 H 2.28
Te: 0.5000 0.5000 0.0000 (multiplicity 1)  2 H 2.82
H: 0.5000 0.5000 0.5000 (multiplicity 1)  4 Sb 2.28

Calculated values
density of states at the Fermi level: 2.64 states/eV/cell
offset from the most stable computed form: 0.000 eV/atom

A relaxed structure of InSbTeH2. Source: Alexandria via LeMat-Bulk, functional PBE.

Unit cell a=4.1038 b=4.1038 c=6.5841 alpha=90.00 beta=90.00 gamma=90.00
With the nearest neighbours (Å) after each atom.
Space group P4/mmm (No. 123)
Unique sites:
In: 0.0000 0.0000 0.0000 (multiplicity 1)  4 Sb 2.90
Sb: 0.5000 0.5000 0.0000 (multiplicity 1)  4 In 2.90
Te: 0.0000 0.0000 0.5000 (multiplicity 1)  4 H 2.05
H: 0.0000 0.5000 0.5000 (multiplicity 2)  2 Te 2.05

Calculated values
DFT total energy: -14.87 eV for the cell shown
density of states at the Fermi level: 2.49 states/eV/cell

A relaxed structure of InSbTe2H. Source: Alexandria via LeMat-Bulk, functional PBE.

Unit cell a=5.5905 b=5.5905 c=3.9461 alpha=90.00 beta=90.00 gamma=90.00
With the nearest neighbours (Å) after each atom.
Space group P4/mmm (No. 123)
Unique sites:
In: 0.0000 0.0000 0.0000 (multiplicity 1)  8 Te 3.42
Sb: 0.5000 0.5000 0.0000 (multiplicity 1)  2 H 1.97
Te: 0.0000 0.5000 0.5000 (multiplicity 2)  2 H 2.80
H: 0.5000 0.5000 0.5000 (multiplicity 1)  2 Sb 1.97

Calculated values
density of states at the Fermi level: 4.74 states/eV/cell
offset from the most stable computed form: 0.000 eV/atom

A relaxed structure of InSb2TeH. Source: Alexandria via LeMat-Bulk, functional PBE.

Unit cell a=5.7228 b=5.7228 c=5.8673 alpha=90.00 beta=90.00 gamma=90.00
With the nearest neighbours (Å) after each atom.
Space group P4/mmm (No. 123)
Unique sites:
In: 0.0000 0.0000 0.0000 (multiplicity 1)  4 Sb 2.86, 2 Te 2.93
Sb: 0.0000 0.5000 0.0000 (multiplicity 2)  2 In 2.86
Te: 0.0000 0.0000 0.5000 (multiplicity 1)  2 In 2.93
H: 0.5000 0.5000 0.5000 (multiplicity 1)  4 Te 4.05, 8 Sb 4.10

Calculated values
density of states at the Fermi level: 4.19 states/eV/cell
offset from the most stable computed form: 0.726 eV/atom

A relaxed structure of InSbTe2H. Source: Alexandria via LeMat-Bulk, functional PBE.

Unit cell a=5.8409 b=5.8409 c=5.6753 alpha=90.00 beta=90.00 gamma=90.00
With the nearest neighbours (Å) after each atom.
Space group P4/mmm (No. 123)
Unique sites:
In: 0.0000 0.0000 0.0000 (multiplicity 1)  2 Sb 2.84, 4 Te 2.92
Sb: 0.0000 0.0000 0.5000 (multiplicity 1)  2 In 2.84
Te: 0.0000 0.5000 0.0000 (multiplicity 2)  2 In 2.92
H: 0.5000 0.5000 0.5000 (multiplicity 1)  8 Te 4.07, 4 Sb 4.13

Calculated values
density of states at the Fermi level: 5.43 states/eV/cell
offset from the most stable computed form: 0.674 eV/atom

A relaxed structure of TlIn2SbH. Source: Alexandria via LeMat-Bulk, functional PBE.

Unit cell a=5.9943 b=5.9943 c=3.6536 alpha=90.00 beta=90.00 gamma=90.00
With the nearest neighbours (Å) after each atom.
Space group P4/mmm (No. 123)
Unique sites:
Tl: 0.0000 0.0000 0.0000 (multiplicity 1)  8 In 3.51, 2 Tl 3.65
In: 0.0000 0.5000 0.5000 (multiplicity 2)  2 Sb 3.00
Sb: 0.5000 0.5000 0.5000 (multiplicity 1)  2 H 1.83
H: 0.5000 0.5000 0.0000 (multiplicity 1)  2 Sb 1.83

Calculated values
DFT total energy: -14.04 eV for the cell shown
density of states at the Fermi level: 2.74 states/eV/cell

A relaxed structure of VInSbH2. Source: Alexandria via LeMat-Bulk, functional PBE.

Unit cell a=4.0213 b=4.0213 c=5.5346 alpha=90.00 beta=90.00 gamma=90.00
With the nearest neighbours (Å) after each atom.
Space group P4/mmm (No. 123)
Unique sites:
V: 0.0000 0.0000 0.0000 (multiplicity 1)  4 H 2.01
In: 0.5000 0.5000 0.5000 (multiplicity 1)  4 Sb 2.84
Sb: 0.0000 0.0000 0.5000 (multiplicity 1)  2 V 2.77, 4 In 2.84
H: 0.0000 0.5000 0.0000 (multiplicity 2)  2 V 2.01

Calculated values
DFT total energy: -20.97 eV for the cell shown
density of states at the Fermi level: 1.72 states/eV/cell

A relaxed structure of VIn2SbH. Source: Alexandria via LeMat-Bulk, functional PBE.

Unit cell a=4.5897 b=4.5897 c=4.9390 alpha=90.00 beta=90.00 gamma=90.00
With the nearest neighbours (Å) after each atom.
Space group P4/mmm (No. 123)
Unique sites:
V: 0.0000 0.0000 0.0000 (multiplicity 1)  4 Sb 3.25, 8 In 3.37
In: 0.0000 0.5000 0.5000 (multiplicity 2)  2 H 2.29
Sb: 0.5000 0.5000 0.0000 (multiplicity 1)  2 H 2.47
H: 0.5000 0.5000 0.5000 (multiplicity 1)  4 In 2.29, 2 Sb 2.47

Calculated values
DFT total energy: -19.55 eV for the cell shown
density of states at the Fermi level: 3.54 states/eV/cell

A relaxed structure of ZnInSb2H. Source: Alexandria via LeMat-Bulk, functional PBE.

Unit cell a=5.6941 b=5.6941 c=5.1988 alpha=90.00 beta=90.00 gamma=90.00
With the nearest neighbours (Å) after each atom.
Space group P4/mmm (No. 123)
Unique sites:
Zn: 0.0000 0.0000 0.0000 (multiplicity 1)  2 In 2.60
In: 0.0000 0.0000 0.5000 (multiplicity 1)  2 Zn 2.60, 4 Sb 2.85
Sb: 0.0000 0.5000 0.5000 (multiplicity 2)  2 In 2.85
H: 0.5000 0.5000 0.0000 (multiplicity 1)  8 Sb 3.86, 4 Zn 4.03

Calculated values
DFT total energy: -10.12 eV for the cell shown
density of states at the Fermi level: 4.52 states/eV/cell

A relaxed structure of Sc6In2H. Source: Alexandria via LeMat-Bulk, functional PBE.

Unit cell a=9.0282 b=9.0282 c=9.0282 alpha=90.00 beta=90.00 gamma=90.00
With the nearest neighbours (Å) after each atom.
Space group Fm-3m (No. 225)
Unique sites:
Sc: 0.0000 0.0000 0.2494 (multiplicity 24)  1 H 2.26
In: 0.2500 0.2500 0.2500 (multiplicity 8)  12 Sc 3.19
H: 0.0000 0.0000 0.5000 (multiplicity 4)  6 Sc 2.26

Calculated values
DFT total energy: -199.81 eV for the cell shown
density of states at the Fermi level: 27.75 states/eV/cell

A relaxed structure of Sc4In2H. Source: Alexandria via LeMat-Bulk, functional PBE.

Unit cell a=4.2929 b=4.2929 c=15.7419 alpha=90.00 beta=90.00 gamma=90.00
With the nearest neighbours (Å) after each atom.
Space group I4/mmm (No. 139)
Unique sites:
Sc: 0.0000 0.0000 0.1727 (multiplicity 4)  1 H 2.72, 1 In 2.99
Sc: 0.0000 0.5000 0.0000 (multiplicity 4)  2 H 2.15
In: 0.0000 0.0000 0.3628 (multiplicity 4)  9 Sc 2.99-3.09
H: 0.0000 0.0000 0.0000 (multiplicity 2)  4 Sc 2.15

Calculated values
DFT total energy: -73.26 eV for the cell shown
density of states at the Fermi level: 9.50 states/eV/cell